(1)
Material: YMnH3
Method: DFT, PBE
State: relaxed

Cell and atoms, written as POSCAR:
```
YMnH3
1.0
3.536 0.000 0.000
0.000 3.536 0.000
0.000 0.000 3.536
Y Mn H
1 1 3
Direct
0.000 0.000 0.000
0.500 0.500 0.500
0.000 0.500 0.500
0.500 0.000 0.500
0.500 0.500 0.000
```

## Properties
* total magnetization: 1.33 μB/f.u.
* total DFT energy (no corrections): -5.495 eV per atom

---

(2)
Material: YMn2H2
Method: DFT, PBE
State: relaxed

Cell and atoms, written as POSCAR:
```
YMn2H2
1.0
6.783 0.000 0.000
0.000 6.783 0.000
0.000 0.000 2.699
Y Mn H
2 4 4
Direct
0.000 0.000 0.000
0.500 0.500 0.000
0.104 0.396 0.000
0.396 0.896 0.000
0.604 0.104 0.000
0.896 0.604 0.000
0.106 0.606 0.500
0.394 0.106 0.500
0.606 0.894 0.500
0.894 0.394 0.500
```

## Properties
* energy relative to the lowest polymorph listed for this composition: 717 meV/atom
* total magnetization: 2.51 μB/f.u.

---

(3)
Material: YMnH2
Method: DFT, PBE
State: relaxed

Cell and atoms, written as POSCAR:
```
YMnH2
1.0
-2.237 2.237 4.799
2.237 -2.237 4.799
2.237 2.237 -4.799
Y Mn H
2 2 4
Direct
0.000 0.000 0.000
0.750 0.250 0.500
0.250 0.750 0.500
0.500 0.500 0.000
0.219 0.625 0.094
0.375 0.469 0.594
0.531 0.125 0.906
0.875 0.781 0.406
```

## Properties
* energy relative to the lowest polymorph listed for this composition: 0 meV/atom
* total magnetization: 2.02 μB/f.u.

---

(4)
Material: YMnH2
Method: DFT, PBE
State: relaxed

Cell and atoms, written as POSCAR:
```
YMnH2
1.0
0.000 2.889 2.889
2.889 0.000 2.889
2.889 2.889 0.000
Y Mn H
1 1 2
Direct
0.000 0.000 0.000
0.500 0.500 0.500
0.250 0.250 0.250
0.750 0.750 0.750
```

## Properties
* energy relative to the lowest polymorph listed for this composition: 316 meV/atom
* total magnetization: 3.60 μB/f.u.